Version i
# La2Co2Re PBE optimized geometry
# magnetic moment	0.00	μB/cell
# volume	199.0	Å³/cell
data_La2Co2Re
_space_group_name_H-M_alt 'P 1'
_space_group_IT_number 1
_cell_length_a 6.572
_cell_length_b 6.572
_cell_length_c 4.606
_cell_angle_alpha 90.00
_cell_angle_beta 90.00
_cell_angle_gamma 90.00
loop_
_space_group_symop_operation_xyz
'x,y,z'
loop_
_atom_site_label
_atom_site_fract_x
_atom_site_fract_y
_atom_site_fract_z
La1 0.323 0.177 0.500
Co1 0.354 0.854 0.000
La2 0.823 0.323 0.500
Re1 0.500 0.500 0.000
La3 0.677 0.823 0.500
Re2 0.000 0.000 0.000
Co2 0.854 0.646 0.000
La4 0.177 0.677 0.500
Co3 0.646 0.146 0.000
Co4 0.146 0.354 0.000

---

Version ii
# La2Co2Re PBE optimized geometry
# magnetic moment	0.00	μB/cell
# volume	108.0	Å³/cell
data_La2Co2Re
_space_group_name_H-M_alt 'P 1'
_space_group_IT_number 1
_cell_length_a 5.566
_cell_length_b 5.566
_cell_length_c 5.259
_cell_angle_alpha 58.05
_cell_angle_beta 58.05
_cell_angle_gamma 90.00
loop_
_space_group_symop_operation_xyz
'x,y,z'
loop_
_atom_site_label
_atom_site_fract_x
_atom_site_fract_y
_atom_site_fract_z
La1 0.750 0.250 0.500
Co1 0.330 0.330 0.340
Re1 0.000 0.000 0.000
Co2 0.670 0.670 0.660
La2 0.250 0.750 0.500

---

What should be chosen as the most stable of them? Choose version i.

---

Version i
# LaCoRh PBE optimized geometry
# magnetic moment	0.70	μB/cell
# volume	62.6	Å³/cell
data_LaCoRh
_space_group_name_H-M_alt 'P 1'
_space_group_IT_number 1
_cell_length_a 4.457
_cell_length_b 4.457
_cell_length_c 4.457
_cell_angle_alpha 60.00
_cell_angle_beta 60.00
_cell_angle_gamma 60.00
loop_
_space_group_symop_operation_xyz
'x,y,z'
loop_
_atom_site_label
_atom_site_fract_x
_atom_site_fract_y
_atom_site_fract_z
La1 0.750 0.750 0.750
Co1 0.500 0.500 0.500
Rh1 0.000 0.000 0.000

---

Version ii
# LaCoRh PBE optimized geometry
# magnetic moment	1.10	μB/cell
# volume	61.0	Å³/cell
data_LaCoRh
_space_group_name_H-M_alt 'P 1'
_space_group_IT_number 1
_cell_length_a 4.419
_cell_length_b 4.419
_cell_length_c 4.419
_cell_angle_alpha 60.00
_cell_angle_beta 60.00
_cell_angle_gamma 60.00
loop_
_space_group_symop_operation_xyz
'x,y,z'
loop_
_atom_site_label
_atom_site_fract_x
_atom_site_fract_y
_atom_site_fract_z
Co1 0.750 0.750 0.750
La1 0.000 0.000 0.000
Rh1 0.500 0.500 0.500

---

What should be chosen as the most stable of them? Choose version ii.

---

Version i
# La2CoRh2 PBE optimized geometry
# magnetic moment	1.73	μB/cell
# volume	218.5	Å³/cell
data_La2CoRh2
_space_group_name_H-M_alt 'P 1'
_space_group_IT_number 1
_cell_length_a 7.721
_cell_length_b 7.721
_cell_length_c 3.666
_cell_angle_alpha 90.00
_cell_angle_beta 90.00
_cell_angle_gamma 90.00
loop_
_space_group_symop_operation_xyz
'x,y,z'
loop_
_atom_site_label
_atom_site_fract_x
_atom_site_fract_y
_atom_site_fract_z
La1 0.172 0.328 0.000
Rh1 0.633 0.867 0.500
La2 0.828 0.672 0.000
Co1 0.500 0.500 0.000
La3 0.328 0.828 0.000
Co2 0.000 0.000 0.000
Rh2 0.133 0.633 0.500
Rh3 0.867 0.367 0.500
La4 0.672 0.172 0.000
Rh4 0.367 0.133 0.500

---

Version ii
# La2CoRh2 PBE optimized geometry
# magnetic moment	0.00	μB/cell
# volume	211.7	Å³/cell
data_La2CoRh2
_space_group_name_H-M_alt 'P 1'
_space_group_IT_number 1
_cell_length_a 7.105
_cell_length_b 7.105
_cell_length_c 4.193
_cell_angle_alpha 90.00
_cell_angle_beta 90.00
_cell_angle_gamma 90.00
loop_
_space_group_symop_operation_xyz
'x,y,z'
loop_
_atom_site_label
_atom_site_fract_x
_atom_site_fract_y
_atom_site_fract_z
La1 0.819 0.319 0.500
Rh1 0.137 0.363 0.000
Rh2 0.863 0.637 0.000
La2 0.319 0.181 0.500
Rh3 0.637 0.137 0.000
Rh4 0.363 0.863 0.000
Co1 0.500 0.500 0.000
La3 0.181 0.681 0.500
La4 0.681 0.819 0.500
Co2 0.000 0.000 0.000

---

What should be chosen as the most stable of them? Choose version ii.

---

Version i
# LaCoRu2 PBE optimized geometry
# magnetic moment	3.50	μB/cell
# volume	69.8	Å³/cell
data_LaCoRu2
_space_group_name_H-M_alt 'P 1'
_space_group_IT_number 1
_cell_length_a 4.539
_cell_length_b 4.539
_cell_length_c 3.386
_cell_angle_alpha 90.00
_cell_angle_beta 90.00
_cell_angle_gamma 90.03
loop_
_space_group_symop_operation_xyz
'x,y,z'
loop_
_atom_site_label
_atom_site_fract_x
_atom_site_fract_y
_atom_site_fract_z
Ru1 0.500 0.500 0.000
Ru2 0.000 0.000 0.000
La1 0.000 0.500 0.500
Co1 0.500 0.000 0.500

---

Version ii
# LaCoRu2 PBE optimized geometry
# magnetic moment	0.00	μB/cell
# volume	66.7	Å³/cell
data_LaCoRu2
_space_group_name_H-M_alt 'P 1'
_space_group_IT_number 1
_cell_length_a 4.553
_cell_length_b 4.553
_cell_length_c 4.553
_cell_angle_alpha 60.00
_cell_angle_beta 60.00
_cell_angle_gamma 60.00
loop_
_space_group_symop_operation_xyz
'x,y,z'
loop_
_atom_site_label
_atom_site_fract_x
_atom_site_fract_y
_atom_site_fract_z
Ru1 0.750 0.750 0.750
Co1 0.000 0.000 0.000
Ru2 0.250 0.250 0.250
La1 0.500 0.500 0.500

---

What should be chosen as the most stable of them? Choose version i.

---

Version i
# LaCoRu2 PBE optimized geometry
# magnetic moment	1.14	μB/cell
# volume	69.6	Å³/cell
data_LaCoRu2
_space_group_name_H-M_alt 'P 1'
_space_group_IT_number 1
_cell_length_a 4.257
_cell_length_b 2.967
_cell_length_c 5.701
_cell_angle_alpha 75.03
_cell_angle_beta 90.00
_cell_angle_gamma 90.00
loop_
_space_group_symop_operation_xyz
'x,y,z'
loop_
_atom_site_label
_atom_site_fract_x
_atom_site_fract_y
_atom_site_fract_z
Ru1 0.500 0.446 0.232
Co1 0.000 0.333 0.459
La1 0.500 0.703 0.723
Ru2 0.000 0.019 0.086

---

Version ii
# LaCoRu2 PBE optimized geometry
# magnetic moment	1.63	μB/cell
# volume	81.1	Å³/cell
data_LaCoRu2
_space_group_name_H-M_alt 'P 1'
_space_group_IT_number 1
_cell_length_a 4.305
_cell_length_b 4.305
_cell_length_c 5.634
_cell_angle_alpha 67.54
_cell_angle_beta 67.54
_cell_angle_gamma 59.99
loop_
_space_group_symop_operation_xyz
'x,y,z'
loop_
_atom_site_label
_atom_site_fract_x
_atom_site_fract_y
_atom_site_fract_z
Ru1 0.061 0.061 0.818
Ru2 0.752 0.752 0.743
Co1 0.438 0.438 0.686
La1 0.249 0.249 0.254

---

What should be chosen as the most stable of them? Choose version ii.

---

Version i
# LaCoRu2 PBE optimized geometry
# magnetic moment	1.32	μB/cell
# volume	69.7	Å³/cell
data_LaCoRu2
_space_group_name_H-M_alt 'P 1'
_space_group_IT_number 1
_cell_length_a 2.869
_cell_length_b 3.590
_cell_length_c 6.765
_cell_angle_alpha 90.00
_cell_angle_beta 90.00
_cell_angle_gamma 90.00
loop_
_space_group_symop_operation_xyz
'x,y,z'
loop_
_atom_site_label
_atom_site_fract_x
_atom_site_fract_y
_atom_site_fract_z
La1 0.500 0.500 0.740
Co1 0.000 0.000 0.437
Ru1 0.000 0.000 0.070
Ru2 0.500 0.500 0.253

---

Version ii
# LaCoRu2 PBE optimized geometry
# magnetic moment	4.05	μB/cell
# volume	166.9	Å³/cell
data_LaCoRu2
_space_group_name_H-M_alt 'P 1'
_space_group_IT_number 1
_cell_length_a 4.453
_cell_length_b 4.453
_cell_length_c 8.987
_cell_angle_alpha 75.66
_cell_angle_beta 75.66
_cell_angle_gamma 90.00
loop_
_space_group_symop_operation_xyz
'x,y,z'
loop_
_atom_site_label
_atom_site_fract_x
_atom_site_fract_y
_atom_site_fract_z
Co1 0.500 0.500 0.000
La1 0.000 0.000 0.000
Ru1 0.489 0.125 0.250
Ru2 0.875 0.739 0.750
Co2 0.250 0.750 0.500
Ru3 0.375 0.511 0.750
Ru4 0.261 0.625 0.250
La2 0.750 0.250 0.500

---

Version iii
# LaCoRu2 PBE optimized geometry
# magnetic moment	0.07	μB/cell
# volume	66.7	Å³/cell
data_LaCoRu2
_space_group_name_H-M_alt 'P 1'
_space_group_IT_number 1
_cell_length_a 2.992
_cell_length_b 2.992
_cell_length_c 7.451
_cell_angle_alpha 90.00
_cell_angle_beta 90.00
_cell_angle_gamma 90.00
loop_
_space_group_symop_operation_xyz
'x,y,z'
loop_
_atom_site_label
_atom_site_fract_x
_atom_site_fract_y
_atom_site_fract_z
La1 0.500 0.500 0.750
Co1 0.500 0.500 0.250
Ru1 0.000 0.000 0.436
Ru2 0.000 0.000 0.064

---

What should be chosen as the most stable of them? Choose version i.

---

Version i
# LaCoRu2 PBE optimized geometry
# magnetic moment	2.99	μB/cell
# volume	70.1	Å³/cell
data_LaCoRu2
_space_group_name_H-M_alt 'P 1'
_space_group_IT_number 1
_cell_length_a 5.534
_cell_length_b 5.534
_cell_length_c 5.534
_cell_angle_alpha 147.53
_cell_angle_beta 128.95
_cell_angle_gamma 61.81
loop_
_space_group_symop_operation_xyz
'x,y,z'
loop_
_atom_site_label
_atom_site_fract_x
_atom_site_fract_y
_atom_site_fract_z
La1 0.252 0.752 0.500
Ru1 0.744 0.244 0.500
Ru2 0.975 0.975 0.000
Co1 0.529 0.529 0.000

---

Version ii
# LaCoRu2 PBE optimized geometry
# magnetic moment	1.68	μB/cell
# volume	68.1	Å³/cell
data_LaCoRu2
_space_group_name_H-M_alt 'P 1'
_space_group_IT_number 1
_cell_length_a 4.921
_cell_length_b 4.921
_cell_length_c 4.959
_cell_angle_alpha 77.53
_cell_angle_beta 77.53
_cell_angle_gamma 35.62
loop_
_space_group_symop_operation_xyz
'x,y,z'
loop_
_atom_site_label
_atom_site_fract_x
_atom_site_fract_y
_atom_site_fract_z
Ru1 0.028 0.028 0.945
La1 0.250 0.250 0.250
Co1 0.750 0.750 0.750
Ru2 0.472 0.472 0.555

---

Version iii
# LaCoRu2 PBE optimized geometry
# magnetic moment	2.44	μB/cell
# volume	70.1	Å³/cell
data_LaCoRu2
_space_group_name_H-M_alt 'P 1'
_space_group_IT_number 1
_cell_length_a 4.281
_cell_length_b 3.019
_cell_length_c 5.525
_cell_angle_alpha 79.20
_cell_angle_beta 90.00
_cell_angle_gamma 90.00
loop_
_space_group_symop_operation_xyz
'x,y,z'
loop_
_atom_site_label
_atom_site_fract_x
_atom_site_fract_y
_atom_site_fract_z
Ru1 0.000 0.439 0.447
Co1 0.500 0.250 0.250
La1 0.500 0.750 0.750
Ru2 0.000 0.061 0.053

---

What should be chosen as the most stable of them? Choose version ii.

---

Version i
# LaCoRu2 PBE optimized geometry
# magnetic moment	3.67	μB/cell
# volume	69.2	Å³/cell
data_LaCoRu2
_space_group_name_H-M_alt 'P 1'
_space_group_IT_number 1
_cell_length_a 4.609
_cell_length_b 4.609
_cell_length_c 4.609
_cell_angle_alpha 120.06
_cell_angle_beta 120.06
_cell_angle_gamma 89.89
loop_
_space_group_symop_operation_xyz
'x,y,z'
loop_
_atom_site_label
_atom_site_fract_x
_atom_site_fract_y
_atom_site_fract_z
Co1 0.500 0.500 0.000
Ru1 0.000 0.000 0.000
La1 0.750 0.250 0.500
Ru2 0.250 0.750 0.500

---

Version ii
# LaCoRu2 PBE optimized geometry
# magnetic moment	0.05	μB/cell
# volume	66.3	Å³/cell
data_LaCoRu2
_space_group_name_H-M_alt 'P 1'
_space_group_IT_number 1
_cell_length_a 5.716
_cell_length_b 5.716
_cell_length_c 5.716
_cell_angle_alpha 150.96
_cell_angle_beta 132.59
_cell_angle_gamma 56.56
loop_
_space_group_symop_operation_xyz
'x,y,z'
loop_
_atom_site_label
_atom_site_fract_x
_atom_site_fract_y
_atom_site_fract_z
Ru1 0.534 0.534 0.000
Ru2 0.966 0.966 0.000
La1 0.250 0.750 0.500
Co1 0.750 0.250 0.500

---

Version iii
# LaCoRu2 PBE optimized geometry
# magnetic moment	1.21	μB/cell
# volume	67.6	Å³/cell
data_LaCoRu2
_space_group_name_H-M_alt 'P 1'
_space_group_IT_number 1
_cell_length_a 4.081
_cell_length_b 4.069
_cell_length_c 4.069
_cell_angle_alpha 90.00
_cell_angle_beta 90.00
_cell_angle_gamma 90.00
loop_
_space_group_symop_operation_xyz
'x,y,z'
loop_
_atom_site_label
_atom_site_fract_x
_atom_site_fract_y
_atom_site_fract_z
Ru1 0.000 0.500 0.500
Ru2 0.000 0.000 0.000
Co1 0.500 0.500 0.000
La1 0.500 0.000 0.500

---

What should be chosen as the most stable of them? Choose version ii.